A relaxed structure of Ba4LiIn. Source: the Alexandria database, functional GGA-PBE.

It has space group Cm (No. 8), with a = 8.524 Å, b = 8.524 Å, c = 8.753 Å, α = 90.00°, β = 90.06° and γ = 90.00°. The asymmetric unit holds Ba at (0.000, 0.250, 0.000), Ba at (0.001, 0.250, 0.466), Li at (0.250, 0.000, 0.733) and In at (0.250, 0.500, 0.233).

As for the formation energy: -0.26 eV per formula unit. The calculation puts the excess energy over the best structure of this formula in the dataset at 86.4 meV per atom. The calculation puts the total magnetization at 0.5 μB/cell.